# CrSn2Pt | the Alexandria database | GGA-PBE | relaxed
# - Formation enthalpy at 0 K: 0.152 eV/atom
# - Calculated volume: 86.0 Å³/f.u.
data_CrSn2Pt
_chemical_formula_sum 'Cr4 Sn8 Pt4'
_space_group_name_H-M_alt 'I -4 2 d'
_space_group_IT_number 122
_space_group_name_Hall 'I -4 2bw'
_cell_length_a 7.631
_cell_length_b 7.631
_cell_length_c 5.909
_cell_angle_alpha 90.00
_cell_angle_beta 90.00
_cell_angle_gamma 90.00
loop_
_atom_site_label
_atom_site_fract_x
_atom_site_fract_y
_atom_site_fract_z
_atom_site_occupancy
Cr1 0.000 0.000 0.000 1
Sn1 0.228 0.250 0.625 1
Pt1 0.000 0.000 0.500 1